Entry i
## YPtW2 (PBE)

Data for an optimized crystal structure of YPtW2.

Cell lengths 2.8784, 2.8784, 8.8717 Å; angles 90.00, 90.00, 98.99 degrees
Element x y z (fractional)
Y  0.0000  0.0000  0.0000
Pt  0.5000  0.5000  0.7338
W  0.0000  0.0000  0.5185
W  0.5000  0.5000  0.2809

Values from the calculation:
The volume comes out at 18.2 A^3/atom.

---

Entry ii
## YPtW2 (PBE)

Data for an optimized crystal structure of YPtW2.

Cell lengths 2.8249, 2.8249, 9.0894 Å; angles 90.00, 90.00, 90.00 degrees
Element x y z (fractional)
Y  0.0000  0.0000  0.0000
Pt  0.0000  0.0000  0.5000
W  0.5000  0.5000  0.2780
W  0.5000  0.5000  0.7220

Values from the calculation:
The volume comes out at 18.1 A^3/atom.

---

On energetic grounds, entry i is preferred over the next structure by 179 meV/atom.